This record from Alexandria describes a relaxed structure of Sr2TmMnO5. The functional is GGA+U.

Final energy ... -256.32 eV/cell
Spin magnetization ... 0.44 μB per atom
Volume ... 14.73 Å³/atom

Cell: 3.463 13.274 11.536 Å, 90.00 90.00 90.00°
Space group Cmc2_1 (No. 36)
Inequivalent atoms, fractional coordinates:
Sr 0.000 0.087 0.000 x4
Sr 0.000 0.151 0.628 x4
Tm 0.000 0.213 0.350 x4
Mn 0.000 0.475 0.768 x4
O 0.000 0.050 0.360 x4
O 0.000 0.271 0.978 x4
O 0.000 0.326 0.729 x4
O 0.000 0.379 0.309 x4
O 0.000 0.488 0.105 x4